w) ## HfSnTeI2 (GGA-PBE)

Data for HfSnTeI2 after structural relaxation.

Unit cell a=5.852 b=5.852 c=5.871 alpha=90.00 beta=90.00 gamma=90.00
Space group P4/mmm (No. 123)
Asymmetric unit:
Hf  0.000  0.000  0.000 (multiplicity 1)
Sn  0.500  0.500  0.500 (multiplicity 1)
Te  0.500  0.500  0.000 (multiplicity 1)
I  0.000  0.500  0.500 (multiplicity 2)

Summary:
N(E_F) ... 6.19 states/eV/f.u.



x) ## HfSnTeI2 (GGA-PBE)

Data for HfSnTeI2 after structural relaxation.

Unit cell a=5.650 b=5.650 c=5.629 alpha=90.00 beta=90.00 gamma=90.00
Space group P4/mmm (No. 123)
Asymmetric unit:
Hf  0.000  0.000  0.000 (multiplicity 1)
Sn  0.500  0.500  0.500 (multiplicity 1)
Te  0.000  0.000  0.500 (multiplicity 1)
I  0.000  0.500  0.000 (multiplicity 2)

Summary:
N(E_F) ... 5.06 states/eV/f.u.



Least stable = w)



w) ## SrHfI3 (GGA-PBE)

Data for SrHfI3 after structural relaxation.

Unit cell a=6.330 b=6.330 c=6.330 alpha=90.00 beta=90.00 gamma=90.00
Space group Pm-3m (No. 221)
Asymmetric unit:
Sr  0.000  0.000  0.000 (multiplicity 1)
Hf  0.500  0.500  0.500 (multiplicity 1)
I  0.000  0.000  0.500 (multiplicity 3)

Summary:
N(E_F) ... 9.40 states/eV/f.u.



x) ## SrHfI3 (GGA-PBE)

Data for SrHfI3 after structural relaxation.

Unit cell a=5.705 b=5.705 c=5.705 alpha=90.00 beta=90.00 gamma=90.00
Space group Pm-3m (No. 221)
Asymmetric unit:
Sr  0.000  0.000  0.000 (multiplicity 1)
Hf  0.500  0.500  0.500 (multiplicity 1)
I  0.000  0.500  0.500 (multiplicity 3)

Summary:
N(E_F) ... 4.37 states/eV/f.u.



Least stable = w)



w) ## Hf3TaI (GGA-PBE)

Data for Hf3TaI after structural relaxation.

Unit cell a=5.085 b=5.085 c=5.085 alpha=90.00 beta=90.00 gamma=90.00
Space group Pm-3m (No. 221)
Asymmetric unit:
Hf  0.000  0.000  0.500 (multiplicity 3)
Ta  0.500  0.500  0.500 (multiplicity 1)
I  0.000  0.000  0.000 (multiplicity 1)

Summary:
N(E_F) ... 5.81 states/eV/f.u.



x) ## Hf3TaI (GGA-PBE)

Data for Hf3TaI after structural relaxation.

Unit cell a=5.198 b=5.198 c=5.198 alpha=90.00 beta=90.00 gamma=90.00
Space group Pm-3m (No. 221)
Asymmetric unit:
Hf  0.000  0.000  0.500 (multiplicity 3)
Ta  0.000  0.000  0.000 (multiplicity 1)
I  0.500  0.500  0.500 (multiplicity 1)

Summary:
N(E_F) ... 7.99 states/eV/f.u.



Least stable = w)



w) ## HfTa3I (GGA-PBE)

Data for HfTa3I after structural relaxation.

Unit cell a=4.954 b=4.954 c=4.954 alpha=90.00 beta=90.00 gamma=90.00
Space group Pm-3m (No. 221)
Asymmetric unit:
Hf  0.000  0.000  0.000 (multiplicity 1)
Ta  0.000  0.500  0.500 (multiplicity 3)
I  0.500  0.500  0.500 (multiplicity 1)

Summary:
N(E_F) ... 2.87 states/eV/f.u.



x) ## HfTa3I (GGA-PBE)

Data for HfTa3I after structural relaxation.

Unit cell a=5.030 b=5.030 c=5.030 alpha=90.00 beta=90.00 gamma=90.00
Space group Pm-3m (No. 221)
Asymmetric unit:
Hf  0.000  0.000  0.000 (multiplicity 1)
Ta  0.000  0.000  0.500 (multiplicity 3)
I  0.500  0.500  0.500 (multiplicity 1)

Summary:
N(E_F) ... 4.83 states/eV/f.u.



Least stable = x)



w) ## Hf2TaI (GGA-PBE)

Data for Hf2TaI after structural relaxation.

Unit cell a=7.019 b=7.019 c=7.019 alpha=90.00 beta=90.00 gamma=90.00
Space group Fm-3m (No. 225)
Asymmetric unit:
Hf  0.250  0.250  0.250 (multiplicity 8)
Ta  0.000  0.000  0.000 (multiplicity 4)
I  0.000  0.000  0.500 (multiplicity 4)

Summary:
N(E_F) ... 6.03 states/eV/f.u.



x) ## Hf2TaI (GGA-PBE)

Data for Hf2TaI after structural relaxation.

Unit cell a=4.276 b=4.276 c=20.229 alpha=90.00 beta=90.00 gamma=90.00
Space group I-42d (No. 122)
Asymmetric unit:
Hf  0.247  0.250  0.125 (multiplicity 8)
Ta  0.000  0.000  0.000 (multiplicity 4)
I  0.000  0.000  0.500 (multiplicity 4)

Summary:
N(E_F) ... 4.08 states/eV/f.u.



Least stable = x)



w) ## HfTaTe2I (GGA-PBE)

Data for HfTaTe2I after structural relaxation.

Unit cell a=5.683 b=5.683 c=5.048 alpha=90.00 beta=90.00 gamma=90.00
Space group P4/mmm (No. 123)
Asymmetric unit:
Hf  0.000  0.000  0.000 (multiplicity 1)
Ta  0.500  0.500  0.000 (multiplicity 1)
Te  0.000  0.500  0.500 (multiplicity 2)
I  0.500  0.500  0.500 (multiplicity 1)

Summary:
N(E_F) ... 5.87 states/eV/f.u.



x) ## HfTaTe2I (GGA-PBE)

Data for HfTaTe2I after structural relaxation.

Unit cell a=5.411 b=5.411 c=5.387 alpha=90.00 beta=90.00 gamma=90.00
Space group P4/mmm (No. 123)
Asymmetric unit:
Hf  0.000  0.000  0.000 (multiplicity 1)
Ta  0.500  0.500  0.500 (multiplicity 1)
Te  0.000  0.500  0.500 (multiplicity 2)
I  0.500  0.500  0.000 (multiplicity 1)

Summary:
N(E_F) ... 5.58 states/eV/f.u.



Least stable = w)



w) ## HfTc2I (GGA-PBE)

Data for HfTc2I after structural relaxation.

Unit cell a=6.289 b=6.289 c=10.309 alpha=90.00 beta=90.00 gamma=90.00
Space group I-42d (No. 122)
Asymmetric unit:
Hf  0.000  0.000  0.000 (multiplicity 4)
Tc  0.244  0.250  0.625 (multiplicity 8)
I  0.000  0.000  0.500 (multiplicity 4)

Summary:
N(E_F) ... 5.33 states/eV/f.u.



x) ## HfTc2I (GGA-PBE)

Data for HfTc2I after structural relaxation.

Unit cell a=6.576 b=6.576 c=6.576 alpha=90.00 beta=90.00 gamma=90.00
Space group Fm-3m (No. 225)
Asymmetric unit:
Hf  0.000  0.000  0.000 (multiplicity 4)
Tc  0.250  0.250  0.250 (multiplicity 8)
I  0.000  0.000  0.500 (multiplicity 4)

Summary:
N(E_F) ... 2.95 states/eV/f.u.



Least stable = w)



w) ## HfTeI (GGA-PBE)

Data for HfTeI after structural relaxation.

Unit cell a=6.787 b=3.918 c=15.169 alpha=90.00 beta=98.84 gamma=90.00
Space group C2/m (No. 12)
Asymmetric unit:
Hf  0.081  0.000  0.232 (multiplicity 4)
Te  0.126  0.500  0.884 (multiplicity 4)
I  0.208  0.000  0.639 (multiplicity 4)

Summary:
N(E_F) ... 2.01 states/eV/f.u.



x) ## HfTeI (GGA-PBE)

Data for HfTeI after structural relaxation.

Unit cell a=7.004 b=3.915 c=7.423 alpha=90.00 beta=90.12 gamma=90.00
Space group P2_1/m (No. 11)
Asymmetric unit:
Hf  0.198  0.250  0.010 (multiplicity 2)
Te  0.085  0.750  0.265 (multiplicity 2)
I  0.419  0.750  0.785 (multiplicity 2)

Summary:
N(E_F) ... 2.24 states/eV/f.u.



y) ## HfTeI (GGA-PBE)

Data for HfTeI after structural relaxation.

Unit cell a=3.9217 b=3.9217 c=7.4203 alpha=90.00 beta=90.00 gamma=120.00
Space group P3m1 (No. 156)
Asymmetric unit:
Hf  0.0000  0.0000  0.0000 (multiplicity 1)
Te  0.3333  0.6667  0.2349 (multiplicity 1)
I  0.6667  0.3333  0.7412 (multiplicity 1)

Summary:
N(E_F) ... 1.84 states/eV/f.u.



z) ## HfTeI (GGA-PBE)

Data for HfTeI after structural relaxation.

Unit cell a=6.223 b=6.720 c=6.729 alpha=88.80 beta=89.97 gamma=89.88
Space group P-1 (No. 2)
Asymmetric unit:
Hf  0.248  0.000  0.000 (multiplicity 2)
Te  0.001  0.756  0.245 (multiplicity 2)
I  0.499  0.244  0.244 (multiplicity 2)

Summary:
N(E_F) ... 0.77 states/eV/f.u.



Least stable = z)



w) ## HfTe3I (GGA-PBE)

Data for HfTe3I after structural relaxation.

Unit cell a=5.571 b=5.571 c=5.571 alpha=90.00 beta=90.00 gamma=90.00
Space group Pm-3m (No. 221)
Asymmetric unit:
Hf  0.000  0.000  0.000 (multiplicity 1)
Te  0.000  0.000  0.500 (multiplicity 3)
I  0.500  0.500  0.500 (multiplicity 1)

Summary:
N(E_F) ... 8.26 states/eV/f.u.



x) ## HfTe3I (GGA-PBE)

Data for HfTe3I after structural relaxation.

Unit cell a=5.701 b=5.701 c=5.701 alpha=90.00 beta=90.00 gamma=90.00
Space group Pm-3m (No. 221)
Asymmetric unit:
Hf  0.000  0.000  0.000 (multiplicity 1)
Te  0.000  0.500  0.500 (multiplicity 3)
I  0.500  0.500  0.500 (multiplicity 1)

Summary:
N(E_F) ... 5.60 states/eV/f.u.



Least stable = x)



w) ## YHfTeI2 (GGA-PBE)

Data for YHfTeI2 after structural relaxation.

Unit cell a=5.892 b=5.892 c=5.954 alpha=90.00 beta=90.00 gamma=90.00
Space group P4/mmm (No. 123)
Asymmetric unit:
Y  0.000  0.000  0.000 (multiplicity 1)
Hf  0.500  0.500  0.500 (multiplicity 1)
Te  0.000  0.000  0.500 (multiplicity 1)
I  0.000  0.500  0.000 (multiplicity 2)

Summary:
N(E_F) ... 6.30 states/eV/f.u.



x) ## YHfTeI2 (GGA-PBE)

Data for YHfTeI2 after structural relaxation.

Unit cell a=5.557 b=5.557 c=5.648 alpha=90.00 beta=90.00 gamma=90.00
Space group P4/mmm (No. 123)
Asymmetric unit:
Y  0.000  0.000  0.000 (multiplicity 1)
Hf  0.500  0.500  0.500 (multiplicity 1)
Te  0.500  0.500  0.000 (multiplicity 1)
I  0.000  0.500  0.500 (multiplicity 2)

Summary:
N(E_F) ... 4.42 states/eV/f.u.



Least stable = w)



w) ## HfTi3I (GGA-PBE)

Data for HfTi3I after structural relaxation.

Unit cell a=4.902 b=4.902 c=4.902 alpha=90.00 beta=90.00 gamma=90.00
Space group Pm-3m (No. 221)
Asymmetric unit:
Hf  0.000  0.000  0.000 (multiplicity 1)
Ti  0.000  0.500  0.500 (multiplicity 3)
I  0.500  0.500  0.500 (multiplicity 1)

Summary:
N(E_F) ... 8.05 states/eV/f.u.



x) ## HfTi3I (GGA-PBE)

Data for HfTi3I after structural relaxation.

Unit cell a=5.014 b=5.014 c=5.014 alpha=90.00 beta=90.00 gamma=90.00
Space group Pm-3m (No. 221)
Asymmetric unit:
Hf  0.000  0.000  0.000 (multiplicity 1)
Ti  0.000  0.000  0.500 (multiplicity 3)
I  0.500  0.500  0.500 (multiplicity 1)

Summary:
N(E_F) ... 7.74 states/eV/f.u.



Least stable = x)



w) ## Hf3TiI (GGA-PBE)

Data for Hf3TiI after structural relaxation.

Unit cell a=5.146 b=5.146 c=5.146 alpha=90.00 beta=90.00 gamma=90.00
Space group Pm-3m (No. 221)
Asymmetric unit:
Hf  0.000  0.000  0.500 (multiplicity 3)
Ti  0.500  0.500  0.500 (multiplicity 1)
I  0.000  0.000  0.000 (multiplicity 1)

Summary:
N(E_F) ... 7.29 states/eV/f.u.



x) ## Hf3TiI (GGA-PBE)

Data for Hf3TiI after structural relaxation.

Unit cell a=5.048 b=5.048 c=5.048 alpha=90.00 beta=90.00 gamma=90.00
Space group Pm-3m (No. 221)
Asymmetric unit:
Hf  0.000  0.000  0.500 (multiplicity 3)
Ti  0.000  0.000  0.000 (multiplicity 1)
I  0.500  0.500  0.500 (multiplicity 1)

Summary:
N(E_F) ... 11.16 states/eV/f.u.



Least stable = w)



w) ## Hf2TlI (GGA-PBE)

Data for Hf2TlI after structural relaxation.

Unit cell a=7.167 b=7.167 c=7.167 alpha=90.00 beta=90.00 gamma=90.00
Space group Fm-3m (No. 225)
Asymmetric unit:
Hf  0.250  0.250  0.250 (multiplicity 8)
Tl  0.000  0.000  0.000 (multiplicity 4)
I  0.000  0.000  0.500 (multiplicity 4)

Summary:
N(E_F) ... 8.19 states/eV/f.u.



x) ## Hf2TlI (GGA-PBE)

Data for Hf2TlI after structural relaxation.

Unit cell a=4.474 b=4.474 c=21.265 alpha=90.00 beta=90.00 gamma=90.00
Space group I-42d (No. 122)
Asymmetric unit:
Hf  0.241  0.250  0.125 (multiplicity 8)
Tl  0.000  0.000  0.000 (multiplicity 4)
I  0.000  0.000  0.500 (multiplicity 4)

Summary:
N(E_F) ... 2.21 states/eV/f.u.



Least stable = x)